Entry from the Alexandria database: a relaxed structure of Pm2TlZn (GGA-PBEsol).

Values from the calculation:
- ΔE_f: -0.36 eV/atom

Cell: 7.4365 7.4365 7.4365 Å, 90.00 90.00 90.00°
With the nearest neighbours (Å) after each atom.
Space group Fm-3m (No. 225)
Inequivalent atoms, fractional coordinates:
Pm (0.2500, 0.2500, 0.2500)  4 Tl 3.22, 4 Zn 3.22
Tl (0.0000, 0.0000, 0.0000)  8 Pm 3.22
Zn (0.0000, 0.0000, 0.5000)  8 Pm 3.22